{
  "formula": "LaNi3As2",
  "functional": "PBE",
  "state": "optimized geometry",
  "lattice_angstrom": [[7.586, -1.983, 0.000], [7.586, 1.983, 0.000], [-3.028, 0.000, 6.550]],
  "species": ["La", "La", "Ni", "Ni", "Ni", "Ni", "Ni", "Ni", "As", "As", "As", "As"],
  "fractional_positions": [[0.150, 0.150, 0.070], [0.850, 0.850, 0.930], [0.040, 0.040, 0.382], [0.312, 0.312, 0.550], [0.408, 0.408, 0.340], [0.592, 0.592, 0.660], [0.688, 0.688, 0.450], [0.960, 0.960, 0.618], [0.189, 0.189, 0.674], [0.476, 0.476, 0.795], [0.524, 0.524, 0.205], [0.811, 0.811, 0.326]],
  "magnetic_moment_mub_per_cell": 0.00,
  "e_tot_ry_per_atom": -0.4369,
  "dos_at_fermi_per_ev_fu": 5.481,
  "space_group": "C2/m"
}

{
  "formula": "LaNi5As2",
  "functional": "PBE",
  "state": "optimized geometry",
  "lattice_angstrom": [[-1.944, 3.296, 4.657], [1.944, -3.296, 4.657], [1.944, 3.296, -4.657]],
  "species": ["La", "Ni", "Ni", "Ni", "Ni", "Ni", "As", "As"],
  "fractional_positions": [[0.000, 0.000, 0.000], [0.174, 0.358, 0.815], [0.457, 0.642, 0.815], [0.500, 0.000, 0.500], [0.543, 0.358, 0.185], [0.826, 0.642, 0.185], [0.256, 0.756, 0.500], [0.744, 0.244, 0.500]],
  "magnetic_moment_mub_per_cell": 0.00,
  "e_tot_ry_per_atom": -0.4323,
  "dos_at_fermi_per_ev_fu": 8.589,
  "space_group": "Immm"
}

{
  "formula": "LaNiAs",
  "functional": "PBE",
  "state": "optimized geometry",
  "lattice_angstrom": [[4.092, 0.000, 0.000], [0.000, 7.123, 0.000], [0.000, 0.000, 4.483]],
  "species": ["La", "La", "Ni", "Ni", "As", "As"],
  "fractional_positions": [[0.000, 0.243, 0.000], [0.000, 0.757, 0.500], [0.500, 0.067, 0.501], [0.500, 0.933, 0.001], [0.500, 0.391, 0.500], [0.500, 0.609, 0.000]],
  "magnetic_moment_mub_per_cell": 0.00,
  "e_tot_ry_per_atom": -0.4295,
  "dos_at_fermi_per_ev_fu": 2.122,
  "space_group": "Pmc2_1"
}

{
  "formula": "LaNiAs",
  "functional": "PBE",
  "state": "optimized geometry",
  "lattice_angstrom": [[4.183, 0.000, 0.000], [-2.092, 3.623, 0.000], [0.000, 0.000, 4.108]],
  "species": ["La", "Ni", "As"],
  "fractional_positions": [[0.000, 0.000, 0.000], [0.667, 0.333, 0.500], [0.333, 0.667, 0.500]],
  "magnetic_moment_mub_per_cell": 0.00,
  "e_tot_ry_per_atom": -0.4552,
  "dos_at_fermi_per_ev_fu": 1.381,
  "space_group": "P-6m2"
}

{
  "formula": "LaNiAs",
  "functional": "PBE",
  "state": "optimized geometry",
  "lattice_angstrom": [[0.000, 2.367, 5.359], [2.359, 0.000, 5.359], [2.359, 2.367, 0.000]],
  "species": ["La", "Ni", "As"],
  "fractional_positions": [[0.000, 0.000, 0.000], [0.301, 0.301, 0.699], [0.714, 0.714, 0.286]],
  "magnetic_moment_mub_per_cell": 0.00,
  "e_tot_ry_per_atom": -0.4086,
  "dos_at_fermi_per_ev_fu": 3.718,
  "space_group": "Fmm2"
}

{
  "formula": "La2NiAs4Pd3",
  "functional": "PBE",
  "state": "optimized geometry",
  "lattice_angstrom": [[4.434, 0.000, 0.000], [0.000, 4.434, 0.000], [0.000, 0.000, 9.917]],
  "species": ["La", "La", "Ni", "As", "As", "As", "As", "Pd", "Pd", "Pd"],
  "fractional_positions": [[0.000, 0.500, 0.245], [0.500, 0.000, 0.755], [0.500, 0.500, 0.000], [0.000, 0.000, 0.500], [0.000, 0.500, 0.876], [0.500, 0.000, 0.124], [0.500, 0.500, 0.500], [0.000, 0.000, 0.000], [0.000, 0.500, 0.623], [0.500, 0.000, 0.377]],
  "magnetic_moment_mub_per_cell": 0.00,
  "e_tot_ry_per_atom": -0.4319,
  "dos_at_fermi_per_ev_fu": 3.803,
  "space_group": "P-4m2"
}

{
  "formula": "La2Ni4As3Pd",
  "functional": "PBE",
  "state": "optimized geometry",
  "lattice_angstrom": [[4.192, 0.000, 0.000], [0.000, 4.192, 0.000], [0.000, 0.000, 9.843]],
  "species": ["La", "La", "Ni", "Ni", "Ni", "Ni", "As", "As", "As", "Pd"],
  "fractional_positions": [[0.000, 0.500, 0.249], [0.500, 0.000, 0.751], [0.000, 0.000, 0.000], [0.000, 0.500, 0.635], [0.500, 0.000, 0.365], [0.500, 0.500, 0.000], [0.000, 0.500, 0.874], [0.500, 0.000, 0.126], [0.500, 0.500, 0.500], [0.000, 0.000, 0.500]],
  "magnetic_moment_mub_per_cell": 0.00,
  "e_tot_ry_per_atom": -0.4404,
  "dos_at_fermi_per_ev_fu": 7.886,
  "space_group": "P-4m2"
}

{
  "formula": "LaPmNi2As2",
  "functional": "PBE",
  "state": "optimized geometry",
  "lattice_angstrom": [[4.142, 0.000, 0.000], [-2.071, 3.587, 0.000], [0.000, 0.000, 8.126]],
  "species": ["La", "Pm", "Ni", "Ni", "As", "As"],
  "fractional_positions": [[0.000, 0.000, 0.000], [0.000, 0.000, 0.500], [0.333, 0.667, 0.747], [0.667, 0.333, 0.253], [0.333, 0.667, 0.258], [0.667, 0.333, 0.742]],
  "magnetic_moment_mub_per_cell": 0.00,
  "e_tot_ry_per_atom": -0.4525,
  "dos_at_fermi_per_ev_fu": 2.641,
  "space_group": "P-3m1"
}